Record 1
This record from Alexandria via LeMat-Bulk describes a relaxed NdY2NbN4 crystal. The functional is PBE-GGA.

Output
For the total energy, the calculation gives -8.878 eV per atom. The magnetization is 0.00 μB/cell.

a b c (Å): 3.426 6.234 12.158
angles (deg): 90.00 90.00 105.95
Fractional positions:
Nb  0.839  0.679  0.750
Nb  0.161  0.321  0.250
N  0.740  0.480  0.622
N  0.000  0.000  0.000
N  0.554  0.107  0.250
N  0.260  0.520  0.122
N  0.446  0.893  0.750
N  0.260  0.520  0.378
N  0.740  0.480  0.878
N  0.000  0.000  0.500
Nd  0.900  0.800  0.250
Nd  0.100  0.200  0.750
Y  0.370  0.741  0.535
Y  0.630  0.259  0.465
Y  0.630  0.259  0.035
Y  0.370  0.741  0.965

---

Record 2
This record from Alexandria via LeMat-Bulk describes a relaxed YVAs3 crystal. The functional is PBE-GGA.

Output
The magnetization is 3.41 μB/cell. As for the relative energy among the computed polymorphs: 1.069 eV/atom.

a b c (Å): 5.335 5.335 5.335
angles (deg): 90.00 90.00 90.00
Fractional positions:
V  0.500  0.500  0.500
As  0.000  0.500  0.000
As  0.000  0.000  0.500
As  0.500  0.000  0.000
Y  0.000  0.000  0.000

---

Record 3
This record from Alexandria via LeMat-Bulk describes a relaxed SmZn9Ru2 crystal. The functional is PBE-GGA.

Output
For the total energy, the calculation gives -2.989 eV per atom. The magnetization is 0.00 μB/cell.

a b c (Å): 5.089 5.089 8.690
angles (deg): 72.98 72.98 60.00
Fractional positions:
Zn  0.919  0.405  0.270
Zn  0.334  0.334  0.999
Zn  0.595  0.595  0.730
Zn  0.081  0.595  0.730
Zn  0.405  0.405  0.270
Zn  0.500  0.500  0.500
Zn  0.595  0.081  0.730
Zn  0.666  0.666  0.001
Zn  0.405  0.919  0.270
Sm  0.000  0.000  0.000
Ru  0.143  0.143  0.571
Ru  0.857  0.857  0.429

---

Record 4
This record from Alexandria via LeMat-Bulk describes a relaxed AuO crystal. The functional is PBE-GGA.

Output
For the total energy, the calculation gives -3.916 eV per atom. The magnetization is 0.00 μB/cell.

a b c (Å): 7.642 7.642 4.506
angles (deg): 90.00 90.00 90.00
Fractional positions:
O  0.324  0.847  0.000
O  0.347  0.176  0.500
O  0.824  0.347  0.500
O  0.153  0.324  0.000
O  0.847  0.676  0.000
O  0.176  0.653  0.500
O  0.676  0.153  0.000
O  0.653  0.824  0.500
Au  0.588  0.772  0.000
Au  0.272  0.912  0.500
Au  0.772  0.412  0.000
Au  0.228  0.588  0.000
Au  0.088  0.272  0.500
Au  0.912  0.728  0.500
Au  0.412  0.228  0.000
Au  0.728  0.088  0.500

---

Record 5
This record from Alexandria via LeMat-Bulk describes a relaxed Sm4Ge8Pd crystal. The functional is PBE-GGA.

Output
For the total energy, the calculation gives -5.348 eV per atom. The magnetization is 0.00 μB/cell.

a b c (Å): 4.050 4.171 16.902
angles (deg): 90.00 90.00 90.00
Fractional positions:
Sm  0.000  0.500  0.610
Sm  0.500  0.000  0.893
Sm  0.000  0.000  0.099
Sm  0.500  0.500  0.400
Ge  0.500  0.500  0.755
Ge  0.500  0.000  0.561
Ge  0.000  0.500  0.234
Ge  0.000  0.500  0.944
Ge  0.000  0.000  0.749
Ge  0.000  0.000  0.467
Ge  0.500  0.000  0.233
Ge  0.500  0.500  0.040
Pd  0.000  0.000  0.320

---

Record 6
This record from Alexandria via LeMat-Bulk describes a relaxed CrAu crystal. The functional is PBE-GGA.

Output
For the total energy, the calculation gives -6.141 eV per atom. The magnetization is 0.00 μB/cell.

a b c (Å): 9.688 9.688 2.789
angles (deg): 90.00 90.00 90.00
Fractional positions:
Au  0.820  0.115  0.000
Au  0.180  0.885  0.000
Au  0.628  0.666  0.500
Au  0.372  0.334  0.500
Au  0.115  0.180  0.000
Au  0.885  0.820  0.000
Au  0.334  0.628  0.500
Au  0.666  0.372  0.500
Cr  0.563  0.124  0.500
Cr  0.910  0.394  0.000
Cr  0.124  0.437  0.500
Cr  0.606  0.910  0.000
Cr  0.437  0.876  0.500
Cr  0.090  0.606  0.000
Cr  0.876  0.563  0.500
Cr  0.394  0.090  0.000

---

Record 7
This record from Alexandria via LeMat-Bulk describes a relaxed TaPdRhAu crystal. The functional is PBE-GGA.

Output
For the total energy, the calculation gives -7.152 eV per atom. The magnetization is 0.00 μB/cell.

a b c (Å): 4.509 4.509 4.509
angles (deg): 60.00 60.00 60.00
Fractional positions:
Pd  0.750  0.750  0.750
Au  0.500  0.500  0.500
Ta  0.000  0.000  0.000
Rh  0.250  0.250  0.250

---

Record 8
This record from Alexandria via LeMat-Bulk describes a relaxed Nd2Sn3Pt4 crystal. The functional is PBE-GGA.

Output
For the total energy, the calculation gives -5.930 eV per atom. The magnetization is 0.00 μB/cell.

a b c (Å): 6.140 7.679 8.771
angles (deg): 90.00 110.49 90.00
Fractional positions:
Nd  0.103  0.595  0.205
Nd  0.897  0.405  0.795
Nd  0.397  0.095  0.795
Nd  0.603  0.905  0.205
Pt  0.316  0.250  0.132
Pt  0.816  0.250  0.132
Pt  0.830  0.026  0.659
Pt  0.330  0.474  0.659
Pt  0.684  0.750  0.868
Pt  0.170  0.974  0.341
Pt  0.670  0.526  0.341
Pt  0.184  0.750  0.868
Sn  0.516  0.750  0.531
Sn  0.984  0.250  0.469
Sn  0.484  0.250  0.469
Sn  0.016  0.750  0.531
Sn  0.500  0.500  0.000
Sn  0.000  0.000  0.000

---

Record 9
This record from Alexandria via LeMat-Bulk describes a relaxed TlZn2Os crystal. The functional is PBE-GGA.

Output
The magnetization is 0.00 μB/cell. As for the relative energy among the computed polymorphs: 0.089 eV/atom.

a b c (Å): 5.060 5.060 4.585
angles (deg): 73.26 73.26 37.99
Fractional positions:
Os  0.250  0.250  0.250
Zn  0.521  0.521  0.444
Zn  0.979  0.979  0.056
Tl  0.750  0.750  0.750

---

Record 10
This record from Alexandria via LeMat-Bulk describes a relaxed HgBi2Br2 crystal. The functional is PBE-GGA.

Output
The magnetization is 0.00 μB/cell. As for the relative energy among the computed polymorphs: 0.000 eV/atom.

a b c (Å): 7.961 7.961 5.710
angles (deg): 90.00 90.00 90.00
Fractional positions:
Hg  0.500  0.500  0.000
Hg  0.000  0.000  0.000
Br  0.685  0.185  0.500
Br  0.315  0.815  0.500
Br  0.815  0.685  0.500
Br  0.185  0.315  0.500
Bi  0.360  0.860  0.000
Bi  0.140  0.360  0.000
Bi  0.640  0.140  0.000
Bi  0.860  0.640  0.000

---

Record 11
This record from Alexandria via LeMat-Bulk describes a relaxed Ba2LaPb crystal. The functional is PBE-GGA.

Output
For the total energy, the calculation gives -3.221 eV per atom. The magnetization is 0.90 μB/cell.

a b c (Å): 12.384 12.384 12.384
angles (deg): 19.72 19.72 19.72
Fractional positions:
Ba  0.243  0.243  0.243
Ba  0.017  0.017  0.017
La  0.485  0.485  0.485
Pb  0.755  0.755  0.755

---

Record 12
This record from Alexandria via LeMat-Bulk describes a relaxed Sm4HoHg4 crystal. The functional is PBE-GGA.

Output
For the total energy, the calculation gives -3.000 eV per atom. The magnetization is 0.00 μB/cell.

a b c (Å): 5.663 9.561 9.561
angles (deg): 90.00 90.00 90.00
Fractional positions:
Sm  0.607  0.844  0.587
Sm  0.893  0.656  0.913
Sm  0.893  0.344  0.087
Sm  0.393  0.413  0.844
Sm  0.607  0.156  0.413
Sm  0.107  0.913  0.344
Sm  0.107  0.087  0.656
Sm  0.393  0.587  0.156
Hg  0.889  0.603  0.301
Hg  0.111  0.699  0.603
Hg  0.389  0.199  0.103
Hg  0.611  0.103  0.801
Hg  0.111  0.301  0.397
Hg  0.611  0.897  0.199
Hg  0.389  0.801  0.897
Hg  0.889  0.397  0.699
Ho  0.500  0.500  0.500
Ho  0.000  0.000  0.000

---

| no. | calculated density (Mg/m³) |
| --- | --- |
| 1 | 6.27 |
| 2 | 3.99 |
| 3 | 8.52 |
| 4 | 10.75 |
| 5 | 7.50 |
| 6 | 12.63 |
| 7 | 15.04 |
| 8 | 12.21 |
| 9 | 12.68 |
| 10 | 7.14 |
| 11 | 5.45 |
| 12 | 10.06 |